[1]
The following is a DFT calculation (PBE) of a relaxed structure of Si3AgMo.

Computed properties:
DOS at the Fermi energy, states/eV per cell: 3.0
Electronic total energy, eV per atom: -5.390
Energy above the lowest structure with this stoichiometry, eV per atom: 0.000

a = 4.747 Å, b = 4.747 Å, c = 4.747 Å
α = 90.00°, β = 90.00°, γ = 90.00°
Space group Pm-3m (No. 221)
One atom of each set of equivalent atoms:
Si 0.000 0.000 0.500 x3
Ag 0.500 0.500 0.500 x1
Mo 0.000 0.000 0.000 x1

***

[2]
The following is a DFT calculation (PBE) of a relaxed structure of Si2AgMo.

Computed properties:
DOS at the Fermi energy, states/eV per cell: 2.7
Electronic total energy, eV per atom: -5.876
Energy above the lowest structure with this stoichiometry, eV per atom: 0.184

a = 2.783 Å, b = 2.783 Å, c = 8.185 Å
α = 90.00°, β = 90.00°, γ = 90.00°
Space group P4/mmm (No. 123)
One atom of each set of equivalent atoms:
Si 0.000 0.000 0.222 x2
Ag 0.500 0.500 0.500 x1
Mo 0.500 0.500 0.000 x1

***

[3]
The following is a DFT calculation (PBE) of a relaxed structure of Si2AgMo.

Computed properties:
DOS at the Fermi energy, states/eV per cell: 3.9
Electronic total energy, eV per atom: -5.998
Energy above the lowest structure with this stoichiometry, eV per atom: 0.061

a = 8.431 Å, b = 3.077 Å, c = 5.109 Å
α = 90.00°, β = 101.15°, γ = 90.00°
Space group C2/m (No. 12)
One atom of each set of equivalent atoms:
Si 0.234 0.000 0.181 x4
Ag 0.000 0.000 0.500 x2
Mo 0.000 0.500 0.000 x2

***

[4]
The following is a DFT calculation (PBE) of a relaxed structure of Si2AgMo.

Computed properties:
DOS at the Fermi energy, states/eV per cell: 4.0
Electronic total energy, eV per atom: -5.840
Energy above the lowest structure with this stoichiometry, eV per atom: 0.220

a = 5.919 Å, b = 8.408 Å, c = 2.794 Å
α = 90.00°, β = 116.57°, γ = 90.00°
Space group C2/m (No. 12)
One atom of each set of equivalent atoms:
Si 0.250 0.250 0.000 x4
Ag 0.000 0.000 0.500 x2
Mo 0.000 0.500 0.500 x2

***

[5]
The following is a DFT calculation (PBE) of a relaxed structure of Si2AgMo.

Computed properties:
DOS at the Fermi energy, states/eV per cell: 15.4
Electronic total energy, eV per atom: -6.009
Energy above the lowest structure with this stoichiometry, eV per atom: 0.051

a = 2.9605 Å, b = 2.9605 Å, c = 25.0413 Å
α = 90.00°, β = 90.00°, γ = 120.00°
Space group R-3m (No. 166, hexagonal axes)
One atom of each set of equivalent atoms:
Si 0.0000 0.0000 0.2434 x6
Ag 0.0000 0.0000 0.0000 x3
Mo 0.0000 0.0000 0.5000 x3

***

[6]
The following is a DFT calculation (PBE) of a relaxed structure of Si2AgMo.

Computed properties:
DOS at the Fermi energy, states/eV per cell: 3.2
Electronic total energy, eV per atom: -5.930
Energy above the lowest structure with this stoichiometry, eV per atom: 0.130

a = 3.474 Å, b = 4.412 Å, c = 8.285 Å
α = 90.00°, β = 90.00°, γ = 90.00°
Space group Cmmm (No. 65)
One atom of each set of equivalent atoms:
Si 0.000 0.000 0.226 x4
Ag 0.000 0.500 0.500 x2
Mo 0.000 0.500 0.000 x2